# 1
First-principles (GGA-PBE) data for a relaxed Be2C crystal, as listed in Alexandria.

- Calculated volume: 20.3 Å³ per cell
- Energy above the most stable polymorph in this dataset: 0 meV per atom
- Formation energy: -0.241 eV/atom
- Symmetry: Fm-3m, No. 225
- Crystal system: cubic
- Total magnetic moment: 0.0 μB/cell

POSCAR file:
```
Be2C
1.0
0.0000 2.1642 2.1642
2.1642 0.0000 2.1642
2.1642 2.1642 0.0000
Be C
2 1
Direct
0.2500 0.2500 0.2500
0.7500 0.7500 0.7500
0.0000 0.0000 0.0000
```


# 2
First-principles (GGA-PBE) data for a relaxed BeC3 crystal, as listed in Alexandria.

- Calculated volume: 27.8 Å³ per cell
- Energy above the most stable polymorph in this dataset: 2127 meV per atom
- Formation energy: 3.033 eV/atom
- Symmetry: P4/mmm, No. 123
- Crystal system: tetragonal
- Total magnetic moment: 0.0 μB/cell

POSCAR file:
```
BeC3
1.0
2.1988 0.0000 0.0000
0.0000 2.1988 0.0000
0.0000 0.0000 5.7560
Be C
1 3
Direct
0.0000 0.0000 0.0000
0.0000 0.0000 0.5000
0.5000 0.5000 0.2216
0.5000 0.5000 0.7784
```


# 3
First-principles (GGA-PBE) data for a relaxed Be2C crystal, as listed in Alexandria.

- Calculated volume: 49.5 Å³ per cell
- Energy above the most stable polymorph in this dataset: 426 meV per atom
- Formation energy: 0.185 eV/atom
- Symmetry: Cmcm, No. 63
- Crystal system: orthorhombic
- Total magnetic moment: 0.0 μB/cell

POSCAR file:
```
Be2C
1.0
2.4422 -3.3680 0.0000
2.4422 3.3680 0.0000
0.0000 0.0000 3.0067
Be C
4 2
Direct
0.0486 0.3526 0.2500
0.3526 0.0486 0.7500
0.6474 0.9514 0.2500
0.9514 0.6474 0.7500
0.1948 0.8052 0.2500
0.8052 0.1948 0.7500
```